[1]
# ZrFe5P3, relaxed, DFT GGA-PBE
# formation enthalpy at 0 K: -0.543 eV per atom
# final energy: -287.91 eV/cell
# spin magnetization: 4.79 μB per formula unit
data_ZrFe5P3
_chemical_formula_sum 'Zr4 Fe20 P12'
_symmetry_space_group_name_H-M 'C m c m'
_symmetry_Int_Tables_number 63
_symmetry_space_group_name_Hall '-C 2c 2'
_cell_length_a 3.634
_cell_length_b 11.769
_cell_length_c 10.650
_cell_angle_alpha 90.00
_cell_angle_beta 90.00
_cell_angle_gamma 90.00
loop_
_atom_site_label
_atom_site_type_symbol
_atom_site_fract_x
_atom_site_fract_y
_atom_site_fract_z
Zr1 Zr 0.000 0.179 0.250
Fe1 Fe 0.000 0.000 0.000
Fe2 Fe 0.000 0.194 0.567
Fe3 Fe 0.000 0.456 0.140
P1 P 0.000 0.109 0.750
P2 P 0.000 0.372 0.550



[2]
# ZrFeP2, relaxed, DFT GGA-PBE
# formation enthalpy at 0 K: -0.394 eV per atom
# final energy: -117.62 eV/cell
# excess energy over the best structure of this formula in the dataset: 376.2 meV/atom
# spin magnetization: 2.01 μB per formula unit
data_ZrFeP2
_chemical_formula_sum 'Zr4 Fe4 P8'
_symmetry_space_group_name_H-M 'F m -3 m'
_symmetry_Int_Tables_number 225
_symmetry_space_group_name_Hall '-F 4 2 3'
_cell_length_a 6.201
_cell_length_b 6.201
_cell_length_c 6.201
_cell_angle_alpha 90.00
_cell_angle_beta 90.00
_cell_angle_gamma 90.00
loop_
_atom_site_label
_atom_site_type_symbol
_atom_site_fract_x
_atom_site_fract_y
_atom_site_fract_z
Zr1 Zr 0.000 0.000 0.000
Fe1 Fe 0.000 0.000 0.500
P1 P 0.250 0.250 0.250



[3]
# ZrFeP2, relaxed, DFT GGA-PBE
# formation enthalpy at 0 K: -0.545 eV per atom
# final energy: -30.01 eV/cell
# excess energy over the best structure of this formula in the dataset: 225.2 meV/atom
# spin magnetization: 2.33 μB per formula unit
data_ZrFeP2
_chemical_formula_sum 'Zr1 Fe1 P2'
_symmetry_space_group_name_H-M 'P 4 m m'
_symmetry_Int_Tables_number 99
_symmetry_space_group_name_Hall 'P 4 -2'
_cell_length_a 3.484
_cell_length_b 3.484
_cell_length_c 5.251
_cell_angle_alpha 90.00
_cell_angle_beta 90.00
_cell_angle_gamma 90.00
loop_
_atom_site_label
_atom_site_type_symbol
_atom_site_fract_x
_atom_site_fract_y
_atom_site_fract_z
Zr1 Zr 0.000 0.000 0.000
Fe1 Fe 0.500 0.500 0.360
P1 P 0.000 0.000 0.485
P2 P 0.500 0.500 0.851



[4]
# ZrFeP2, relaxed, DFT GGA-PBE
# formation enthalpy at 0 K: -0.443 eV per atom
# final energy: -29.60 eV/cell
# excess energy over the best structure of this formula in the dataset: 326.8 meV/atom
# spin magnetization: 2.09 μB per formula unit
data_ZrFeP2
_chemical_formula_sum 'Zr1 Fe1 P2'
_symmetry_space_group_name_H-M 'P 4/m m m'
_symmetry_Int_Tables_number 123
_symmetry_space_group_name_Hall '-P 4 2'
_cell_length_a 4.305
_cell_length_b 4.305
_cell_length_c 3.227
_cell_angle_alpha 90.00
_cell_angle_beta 90.00
_cell_angle_gamma 90.00
loop_
_atom_site_label
_atom_site_type_symbol
_atom_site_fract_x
_atom_site_fract_y
_atom_site_fract_z
Zr1 Zr 0.000 0.000 0.000
Fe1 Fe 0.500 0.500 0.000
P1 P 0.000 0.500 0.500



[5]
# ZrFe5P2, relaxed, DFT GGA-PBE
# formation enthalpy at 0 K: -0.518 eV per atom
# final energy: -131.65 eV/cell
# spin magnetization: 5.41 μB per formula unit
data_ZrFe5P2
_chemical_formula_sum 'Zr2 Fe10 P4'
_symmetry_space_group_name_H-M 'I m m m'
_symmetry_Int_Tables_number 71
_symmetry_space_group_name_Hall '-I 2 2'
_cell_length_a 3.574
_cell_length_b 6.485
_cell_length_c 8.506
_cell_angle_alpha 90.00
_cell_angle_beta 90.00
_cell_angle_gamma 90.00
loop_
_atom_site_label
_atom_site_type_symbol
_atom_site_fract_x
_atom_site_fract_y
_atom_site_fract_z
Zr1 Zr 0.000 0.000 0.000
Fe1 Fe 0.000 0.188 0.355
Fe2 Fe 0.000 0.500 0.000
P1 P 0.000 0.500 0.254



[6]
# ZrFeP2, relaxed, DFT GGA-PBE
# formation enthalpy at 0 K: -0.770 eV per atom
# final energy: -61.82 eV/cell
# excess energy over the best structure of this formula in the dataset: 0.0 meV/atom
# spin magnetization: 0.00 μB per formula unit
data_ZrFeP2
_chemical_formula_sum 'Zr2 Fe2 P4'
_symmetry_space_group_name_H-M 'C 1 2/m 1'
_symmetry_Int_Tables_number 12
_symmetry_space_group_name_Hall '-C 2y'
_cell_length_a 6.287
_cell_length_b 3.635
_cell_length_c 5.498
_cell_angle_alpha 90.00
_cell_angle_beta 112.49
_cell_angle_gamma 90.00
loop_
_atom_site_label
_atom_site_type_symbol
_atom_site_fract_x
_atom_site_fract_y
_atom_site_fract_z
Zr1 Zr 0.000 0.000 0.000
Fe1 Fe 0.000 0.500 0.500
P1 P 0.228 0.000 0.684



[7]
# ZrFeP2, relaxed, DFT GGA-PBE
# formation enthalpy at 0 K: -0.661 eV per atom
# final energy: -60.95 eV/cell
# excess energy over the best structure of this formula in the dataset: 108.6 meV/atom
# spin magnetization: 0.00 μB per formula unit
data_ZrFeP2
_chemical_formula_sum 'Zr2 Fe2 P4'
_symmetry_space_group_name_H-M 'A m m 2'
_symmetry_Int_Tables_number 38
_symmetry_space_group_name_Hall 'A 2 -2'
_cell_length_a 4.018
_cell_length_b 3.495
_cell_length_c 9.575
_cell_angle_alpha 90.00
_cell_angle_beta 90.00
_cell_angle_gamma 90.00
loop_
_atom_site_label
_atom_site_type_symbol
_atom_site_fract_x
_atom_site_fract_y
_atom_site_fract_z
Zr1 Zr 0.000 0.000 0.000
Fe1 Fe 0.500 0.000 0.783
P1 P 0.000 0.000 0.709
P2 P 0.500 0.000 0.419



[8]
# Zr6Fe2P, relaxed, DFT GGA-PBE
# formation enthalpy at 0 K: -0.325 eV per atom
# final energy: -76.55 eV/cell
# spin magnetization: 3.08 μB per formula unit
data_Zr6Fe2P
_chemical_formula_sum 'Zr6 Fe2 P1'
_symmetry_space_group_name_H-M 'P -6 2 m'
_symmetry_Int_Tables_number 189
_symmetry_space_group_name_Hall 'P -6 -2'
_cell_length_a 7.3517
_cell_length_b 7.3517
_cell_length_c 3.6698
_cell_angle_alpha 90.00
_cell_angle_beta 90.00
_cell_angle_gamma 120.00
loop_
_atom_site_label
_atom_site_type_symbol
_atom_site_fract_x
_atom_site_fract_y
_atom_site_fract_z
Zr1 Zr 0.0000 0.3981 0.0000
Zr2 Zr 0.0000 0.7345 0.5000
Fe1 Fe 0.3333 0.6667 0.5000
P1 P 0.0000 0.0000 0.0000



[9]
# ZrFeP2, relaxed, DFT GGA-PBE
# formation enthalpy at 0 K: -0.456 eV per atom
# final energy: -59.31 eV/cell
# excess energy over the best structure of this formula in the dataset: 314.5 meV/atom
# spin magnetization: 1.33 μB per formula unit
data_ZrFeP2
_chemical_formula_sum 'Zr2 Fe2 P4'
_symmetry_space_group_name_H-M 'C m m m'
_symmetry_Int_Tables_number 65
_symmetry_space_group_name_Hall '-C 2 2'
_cell_length_a 3.765
_cell_length_b 5.008
_cell_length_c 6.242
_cell_angle_alpha 90.00
_cell_angle_beta 90.00
_cell_angle_gamma 90.00
loop_
_atom_site_label
_atom_site_type_symbol
_atom_site_fract_x
_atom_site_fract_y
_atom_site_fract_z
Zr1 Zr 0.000 0.000 0.000
Fe1 Fe 0.000 0.000 0.500
P1 P 0.000 0.500 0.292



[10]
# ZrFe3P, relaxed, DFT GGA-PBE
# formation enthalpy at 0 K: -0.072 eV per atom
# final energy: -39.71 eV/cell
# excess energy over the best structure of this formula in the dataset: 0.0 meV/atom
# spin magnetization: 1.11 μB per formula unit
data_ZrFe3P
_chemical_formula_sum 'Zr1 Fe3 P1'
_symmetry_space_group_name_H-M 'P m -3 m'
_symmetry_Int_Tables_number 221
_symmetry_space_group_name_Hall '-P 4 2 3'
_cell_length_a 4.116
_cell_length_b 4.116
_cell_length_c 4.116
_cell_angle_alpha 90.00
_cell_angle_beta 90.00
_cell_angle_gamma 90.00
loop_
_atom_site_label
_atom_site_type_symbol
_atom_site_fract_x
_atom_site_fract_y
_atom_site_fract_z
Zr1 Zr 0.000 0.000 0.000
Fe1 Fe 0.000 0.500 0.500
P1 P 0.500 0.500 0.500



[11]
# Zr2Fe12P7, relaxed, DFT GGA-PBE
# formation enthalpy at 0 K: -0.737 eV per atom
# final energy: -172.00 eV/cell
# spin magnetization: 1.10 μB per formula unit
data_Zr2Fe12P7
_chemical_formula_sum 'Zr2 Fe12 P7'
_symmetry_space_group_name_H-M 'P -6'
_symmetry_Int_Tables_number 174
_symmetry_space_group_name_Hall 'P -6'
_cell_length_a 8.8596
_cell_length_b 8.8596
_cell_length_c 3.5899
_cell_angle_alpha 90.00
_cell_angle_beta 90.00
_cell_angle_gamma 120.00
loop_
_atom_site_label
_atom_site_type_symbol
_atom_site_fract_x
_atom_site_fract_y
_atom_site_fract_z
Zr1 Zr 0.0000 0.0000 0.0000
Zr2 Zr 0.3333 0.6667 0.5000
Fe1 Fe 0.0359 0.7637 0.5000
Fe2 Fe 0.1038 0.3851 0.0000
Fe3 Fe 0.4465 0.2346 0.0000
Fe4 Fe 0.5107 0.0573 0.5000
P1 P 0.0710 0.6222 0.0000
P2 P 0.2535 0.0351 0.5000
P3 P 0.6667 0.3333 0.5000



[12]
# ZrFeP2, relaxed, DFT GGA-PBE
# formation enthalpy at 0 K: -0.508 eV per atom
# final energy: -59.72 eV/cell
# excess energy over the best structure of this formula in the dataset: 262.2 meV/atom
# spin magnetization: 1.69 μB per formula unit
data_ZrFeP2
_chemical_formula_sum 'Zr2 Fe2 P4'
_symmetry_space_group_name_H-M 'C 1 m 1'
_symmetry_Int_Tables_number 8
_symmetry_space_group_name_Hall 'C -2y'
_cell_length_a 8.752
_cell_length_b 3.200
_cell_length_c 4.473
_cell_angle_alpha 90.00
_cell_angle_beta 104.10
_cell_angle_gamma 90.00
loop_
_atom_site_label
_atom_site_type_symbol
_atom_site_fract_x
_atom_site_fract_y
_atom_site_fract_z
Zr1 Zr 0.000 0.000 0.000
Fe1 Fe 0.278 0.500 0.424
P1 P 0.255 0.000 0.794
P2 P 0.487 0.000 0.496